A relaxed LiHfSiIr crystal. Source: Alexandria via LeMat-Bulk, functional PBE.

Calculated values
Total moment in Bohr magnetons per cell: 0.000
Formation energy without anion corrections in meV per atom: -806
SG: F-43m (216)

Unit cell a=4.370 b=4.370 c=4.370 alpha=60.00 beta=60.00 gamma=60.00
Fractional positions:
Si 0.750 0.750 0.750
Ir 0.000 0.000 0.000
Hf 0.250 0.250 0.250
Li 0.500 0.500 0.500



A relaxed LiSmHfIr crystal. Source: Alexandria via LeMat-Bulk, functional PBE.

Calculated values
Energy of formation from the pure elements in eV/atom: -0.382
Total moment in Bohr magnetons per cell: 0.001
SG: F-43m (216)

Unit cell a=4.821 b=4.821 c=4.821 alpha=60.00 beta=60.00 gamma=60.00
Fractional positions:
Ir 0.000 0.000 0.000
Hf 0.750 0.750 0.750
Sm 0.250 0.250 0.250
Li 0.500 0.500 0.500



A relaxed LiHfSnIr crystal. Source: Alexandria via LeMat-Bulk, functional PBE.

Calculated values
Energy of formation from the pure elements in eV/atom: -0.742
Total moment in Bohr magnetons per cell: 0.000
SG: F-43m (216)

Unit cell a=4.568 b=4.568 c=4.568 alpha=60.00 beta=60.00 gamma=60.00
Fractional positions:
Ir 0.000 0.000 0.000
Hf 0.750 0.750 0.750
Sn 0.250 0.250 0.250
Li 0.500 0.500 0.500



A relaxed LiTbHfIr crystal. Source: Alexandria via LeMat-Bulk, functional PBE.

Calculated values
Energy of formation from the pure elements in eV/atom: -0.466
Total moment in Bohr magnetons per cell: 0.000
SG: F-43m (216)

Unit cell a=4.780 b=4.780 c=4.780 alpha=60.00 beta=60.00 gamma=60.00
Fractional positions:
Tb 0.750 0.750 0.750
Ir 0.500 0.500 0.500
Hf 0.250 0.250 0.250
Li 0.000 0.000 0.000



A relaxed LiHfTiIr crystal. Source: Alexandria via LeMat-Bulk, functional PBE.

Calculated values
Energy of formation from the pure elements in eV/atom: -0.497
Total moment in Bohr magnetons per cell: 0.000
SG: F-43m (216)

Unit cell a=4.515 b=4.515 c=4.515 alpha=60.00 beta=60.00 gamma=60.00
Fractional positions:
Ir 0.500 0.500 0.500
Hf 0.750 0.750 0.750
Li 0.000 0.000 0.000
Ti 0.250 0.250 0.250



A relaxed LiHfZn2Ir crystal. Source: Alexandria via LeMat-Bulk, functional PBE.

Calculated values
Energy of formation from the pure elements in eV/atom: 0.132
Total moment in Bohr magnetons per cell: 0.000
SG: P4/mmm (123)

Unit cell a=4.147 b=4.439 c=4.147 alpha=90.00 beta=90.00 gamma=90.00
Fractional positions:
Zn 0.000 0.000 0.500
Zn 0.500 0.000 0.000
Ir 0.000 0.500 0.000
Hf 0.500 0.500 0.500
Li 0.000 0.000 0.000



A relaxed LuHfIr crystal. Source: Alexandria via LeMat-Bulk, functional PBE.

Calculated values
Energy of formation from the pure elements in eV/atom: -0.651
Total moment in Bohr magnetons per cell: 0.000
SG: F-43m (216)

Unit cell a=4.610 b=4.610 c=4.610 alpha=60.00 beta=60.00 gamma=60.00
Fractional positions:
Ir 0.250 0.250 0.250
Hf 0.000 0.000 0.000
Lu 0.500 0.500 0.500



A relaxed LuHfMgIr crystal. Source: Alexandria via LeMat-Bulk, functional PBE.

Calculated values
Energy of formation from the pure elements in eV/atom: -0.418
Total moment in Bohr magnetons per cell: 0.000
SG: F-43m (216)

Unit cell a=4.822 b=4.822 c=4.822 alpha=60.00 beta=60.00 gamma=60.00
Fractional positions:
Mg 0.000 0.000 0.000
Ir 0.500 0.500 0.500
Hf 0.750 0.750 0.750
Lu 0.250 0.250 0.250



Number 1: total energy -29.4 eV for the cell shown. Number 2: total energy -27.0 eV for the cell shown. Number 3: total energy -27.7 eV for the cell shown. Number 4: total energy -27.2 eV for the cell shown. Number 5: total energy -30.6 eV for the cell shown. Number 6: total energy -22.6 eV for the cell shown. Number 7: total energy -25.3 eV for the cell shown. Number 8: total energy -26.6 eV for the cell shown.